Computed, not measured: a relaxed structure of TcOsPt at the PBE level of DFT.

The value obtained for the energy relative to the elements is -0.054 eV/atom. As for the density of states at the Fermi level: 9.1 states/eV per cell. The total energy comes out at -9.27 eV/atom. The value obtained for the excess energy over the best structure of this formula in the dataset is 28 meV per atom.

It has space group C2/m (No. 12), with a = 11.966 Å, b = 2.746 Å, c = 5.557 Å, α = 90.00°, β = 103.04° and γ = 90.00°. The distinct sites, in fractional coordinates, are Tc at (0.002, 0.000, 0.272), Os at (0.163, 0.500, 0.578) and Pt at (0.162, 0.500, 0.080).

---

Computed, not measured: a relaxed structure of Tc2OsPt at the PBE level of DFT.

The value obtained for the energy relative to the elements is 0.008 eV/atom. As for the density of states at the Fermi level: 5.2 states/eV per cell. The total energy comes out at -9.49 eV/atom. The value obtained for the excess energy over the best structure of this formula in the dataset is 144 meV per atom.

It has space group P4mm (No. 99), with a = 2.740 Å, b = 2.740 Å, c = 7.877 Å, α = 90.00°, β = 90.00° and γ = 90.00°. The distinct sites, in fractional coordinates, are Tc at (0.000, 0.000, 0.000), Tc at (0.500, 0.500, 0.256), Os at (0.000, 0.000, 0.484) and Pt at (0.500, 0.500, 0.749).

---

Computed, not measured: a relaxed structure of TcOsPt at the PBE level of DFT.

The value obtained for the energy relative to the elements is -0.034 eV/atom. As for the density of states at the Fermi level: 10.2 states/eV per cell. The total energy comes out at -9.25 eV/atom. The value obtained for the excess energy over the best structure of this formula in the dataset is 48 meV per atom.

It has space group C2/m (No. 12), with a = 8.678 Å, b = 3.908 Å, c = 5.518 Å, α = 90.00°, β = 108.51° and γ = 90.00°. The distinct sites, in fractional coordinates, are Tc at (0.163, 0.000, 0.078), Os at (0.012, 0.500, 0.769) and Pt at (0.168, 0.000, 0.586).

---

Computed, not measured: a relaxed structure of TcOsPt at the PBE level of DFT.

The value obtained for the energy relative to the elements is -0.040 eV/atom. As for the density of states at the Fermi level: 10.9 states/eV per cell. The total energy comes out at -9.25 eV/atom. The value obtained for the excess energy over the best structure of this formula in the dataset is 41 meV per atom.

It has space group Cm (No. 8), with a = 8.690 Å, b = 3.907 Å, c = 5.514 Å, α = 90.00°, β = 108.52° and γ = 90.00°. The distinct sites, in fractional coordinates, are Tc at (0.000, 0.000, 0.000), Tc at (0.173, 0.500, 0.843), Os at (0.021, 0.000, 0.539), Os at (0.347, 0.000, 0.691), Pt at (0.178, 0.500, 0.352) and Pt at (0.341, 0.000, 0.181).

---

Computed, not measured: a relaxed structure of TcOsPt at the PBE level of DFT.

The value obtained for the energy relative to the elements is 0.454 eV/atom. As for the density of states at the Fermi level: 10.6 states/eV per cell. The total energy comes out at -8.76 eV/atom. The value obtained for the excess energy over the best structure of this formula in the dataset is 536 meV per atom.

It has space group C2/m (No. 12), with a = 6.915 Å, b = 3.705 Å, c = 8.646 Å, α = 90.00°, β = 106.70° and γ = 90.00°. The distinct sites, in fractional coordinates, are Tc at (0.078, 0.000, 0.270), Os at (0.198, 0.000, 0.590) and Pt at (0.195, 0.500, 0.093).

---

Computed, not measured: a relaxed structure of TcOsPt at the PBE level of DFT.

The value obtained for the energy relative to the elements is -0.046 eV/atom. As for the density of states at the Fermi level: 10.3 states/eV per cell. The total energy comes out at -9.26 eV/atom. The value obtained for the excess energy over the best structure of this formula in the dataset is 36 meV per atom.

It has space group Cm (No. 8), with a = 8.694 Å, b = 3.904 Å, c = 5.515 Å, α = 90.00°, β = 108.55° and γ = 90.00°. The distinct sites, in fractional coordinates, are Tc at (0.000, 0.000, 0.000), Tc at (0.152, 0.500, 0.306), Os at (0.172, 0.500, 0.845), Os at (0.327, 0.000, 0.154), Pt at (0.331, 0.000, 0.661) and Pt at (0.495, 0.500, 0.490).

---

Computed, not measured: a relaxed structure of Tc2OsPt at the PBE level of DFT.

The value obtained for the energy relative to the elements is -0.136 eV/atom. As for the density of states at the Fermi level: 3.1 states/eV per cell. The total energy comes out at -9.64 eV/atom. The value obtained for the excess energy over the best structure of this formula in the dataset is 0 meV per atom.

It has space group Pmm2 (No. 25), with a = 2.754 Å, b = 4.394 Å, c = 4.827 Å, α = 90.00°, β = 90.00° and γ = 90.00°. The distinct sites, in fractional coordinates, are Tc at (0.000, 0.000, 0.000), Tc at (0.000, 0.500, 0.321), Os at (0.500, 0.500, 0.833) and Pt at (0.500, 0.000, 0.496).

---

Computed, not measured: a relaxed structure of TcOsPt2 at the PBE level of DFT.

The value obtained for the energy relative to the elements is 0.220 eV/atom. As for the density of states at the Fermi level: 4.4 states/eV per cell. The total energy comes out at -8.20 eV/atom. The value obtained for the excess energy over the best structure of this formula in the dataset is 311 meV per atom.

It has space group P4mm (No. 99), with a = 3.328 Å, b = 3.328 Å, c = 5.543 Å, α = 90.00°, β = 90.00° and γ = 90.00°. The distinct sites, in fractional coordinates, are Tc at (0.000, 0.000, 0.000), Os at (0.500, 0.500, 0.222), Pt at (0.000, 0.000, 0.480) and Pt at (0.500, 0.500, 0.737).